No. 1
Entry from Alexandria: a relaxed structure of Mg2SiTc (PBE-GGA).

Output
Uncorrected formation energy = 0.097 eV per atom

a b c (Å): 2.9117 2.9117 8.8057
angles (deg): 90.00 90.00 110.99
Atoms (fractional coordinates):
Mg (0.0000, 0.0000, 0.9738)
Mg (0.5000, 0.5000, 0.2723)
Si (0.0000, 0.0000, 0.5302)
Tc (0.5000, 0.5000, 0.7237)

No. 2
Entry from Alexandria: a relaxed structure of Rb2LiTlF (PBE-GGA).

Output
Uncorrected formation energy = -0.974 eV per atom

a b c (Å): 6.8322 6.8322 3.7689
angles (deg): 90.00 90.00 90.00
Atoms (fractional coordinates):
Tl (0.5000, 0.5000, 0.5000)
Li (0.0000, 0.0000, 0.5000)
Rb (0.0000, 0.5000, 0.0000)
Rb (0.5000, 0.0000, 0.0000)
F (0.0000, 0.0000, 0.0000)

No. 3
Entry from Alexandria: a relaxed structure of Dy2P3PdRh12 (PBE-GGA).

Output
DFT formation energy = -0.21 eV/atom

a b c (Å): 6.6751 6.6751 6.6751
angles (deg): 82.92 82.92 82.92
Atoms (fractional coordinates):
Dy (0.6240, 0.6240, 0.6240)
Dy (0.3760, 0.3760, 0.3760)
P (0.5000, 0.0000, 0.0000)
P (0.0000, 0.5000, 0.0000)
P (0.0000, 0.0000, 0.5000)
Pd (0.0000, 0.0000, 0.0000)
Rh (0.3676, 0.3676, 0.9086)
Rh (0.8254, 0.8254, 0.3348)
Rh (0.3348, 0.8254, 0.8254)
Rh (0.9086, 0.3676, 0.3676)
Rh (0.8254, 0.3348, 0.8254)
Rh (0.3676, 0.9086, 0.3676)
Rh (0.6324, 0.6324, 0.0914)
Rh (0.1746, 0.1746, 0.6652)
Rh (0.6652, 0.1746, 0.1746)
Rh (0.0914, 0.6324, 0.6324)
Rh (0.1746, 0.6652, 0.1746)
Rh (0.6324, 0.0914, 0.6324)

No. 4
Entry from Alexandria: a relaxed structure of Sm3Ho2Tm6 (PBE-GGA).

Output
DFT formation energy = 0.02 eV/atom
Relative energy among the computed polymorphs = 0.000 eV per atom

a b c (Å): 3.5369 3.5369 31.6087
angles (deg): 86.79 86.79 60.00
Atoms (fractional coordinates):
Sm (0.0000, 0.0000, 0.0000)
Sm (0.7278, 0.7278, 0.8167)
Sm (0.2722, 0.2722, 0.1833)
Ho (0.5449, 0.5449, 0.3652)
Ho (0.4551, 0.4551, 0.6348)
Tm (0.9083, 0.9083, 0.2751)
Tm (0.0917, 0.0917, 0.7249)
Tm (0.8184, 0.8184, 0.5447)
Tm (0.1816, 0.1816, 0.4553)
Tm (0.6361, 0.6361, 0.0916)
Tm (0.3639, 0.3639, 0.9084)